DFT (PBE-GGA) results for crystalline LaPmSm2Y at its relaxed geometry.

a b c (Å): 6.5884 8.5026 6.3287
angles (deg): 95.76 90.00 90.00
Last column: nearest neighbours and their distance in Å.
Element x y z (fractional)
Sm 0.6868 0.3125 0.7176  1 Pm 3.15, 1 Sm 3.17
Sm 0.3132 0.3125 0.2176  1 Pm 3.15, 1 Sm 3.17
Sm 0.3132 0.6875 0.2824  1 Pm 3.15, 1 Sm 3.17
La 0.0000 0.0000 0.0000  2 La 3.16, 2 Pm 3.28, 2 Sm 3.53
Pm 0.4363 0.0000 0.7500  2 Sm 3.15, 2 Pm 3.27, 2 La 3.28
Y 0.8330 0.5000 0.2500  8 Sm 3.54-3.77, 2 Y 3.85
Y 0.1670 0.5000 0.7500  8 Sm 3.54-3.77, 2 Y 3.85
Sm 0.6868 0.6875 0.7824  1 Pm 3.15, 1 Sm 3.17
La 0.0000 0.0000 0.5000  2 La 3.16, 2 Pm 3.28, 2 Sm 3.53
Pm 0.5637 0.0000 0.2500  2 Sm 3.15, 2 Pm 3.27, 2 La 3.28

Values from the calculation:
- Symmetry: No. 13
- Crystal system: monoclinic

=====

DFT (PBE-GGA) results for crystalline LaPmSm2Y2 at its relaxed geometry.

a b c (Å): 3.4241 6.6568 18.2704
angles (deg): 90.00 90.00 90.00
Last column: nearest neighbours and their distance in Å.
Element x y z (fractional)
Sm 0.5000 0.7197 0.6862  4 Y 3.38-3.46, 2 Sm 3.42, 1 La 3.70
Sm 0.5000 0.2803 0.3138  4 Y 3.38-3.46, 2 Sm 3.42, 1 La 3.70
Y 0.0000 0.2832 0.1489  1 La 3.31, 4 Sm 3.38-3.46, 2 Y 3.42, 2 Pm 3.52
Y 0.5000 0.7832 0.3511  1 La 3.31, 4 Sm 3.38-3.46, 2 Y 3.42, 2 Pm 3.52
La 0.0000 0.0000 0.0000  2 Y 3.31, 2 La 3.42, 2 Sm 3.70
Pm 0.0000 0.0000 0.5000  2 Pm 3.42, 4 Y 3.52, 4 La 3.74
Sm 0.0000 0.7803 0.1862  4 Y 3.38-3.46, 2 Sm 3.42, 1 La 3.70
Y 0.5000 0.2168 0.6489  1 La 3.31, 4 Sm 3.38-3.46, 2 Y 3.42, 2 Pm 3.52
La 0.5000 0.5000 0.5000  2 Y 3.31, 2 La 3.42, 2 Sm 3.70
Pm 0.5000 0.5000 0.0000  2 Pm 3.42, 4 Y 3.52, 4 La 3.74
Sm 0.0000 0.2197 0.8138  4 Y 3.38-3.46, 2 Sm 3.42, 1 La 3.70
Y 0.0000 0.7168 0.8511  1 La 3.31, 4 Sm 3.38-3.46, 2 Y 3.42, 2 Pm 3.52

Values from the calculation:
- Symmetry: No. 58
- Crystal system: orthorhombic

=====

DFT (PBE-GGA) results for crystalline La5PmSm2Y at its relaxed geometry.

a b c (Å): 9.1563 9.1563 10.0607
angles (deg): 117.07 117.07 90.00
Last column: nearest neighbours and their distance in Å.
Element x y z (fractional)
La 0.4306 0.3475 0.2781  1 Sm 3.15, 1 Y 3.19
La 0.9306 0.4306 0.2781  1 Sm 3.15, 1 Y 3.19
La 0.0694 0.5694 0.7219  1 Sm 3.15, 1 Y 3.19
Sm 0.8864 0.6136 0.0000  1 Sm 2.94, 2 La 3.15
Pm 0.7500 0.7500 0.5000  10 La 3.70-3.85
La 0.3475 0.8475 0.2781  1 Sm 3.15, 1 Y 3.19
La 0.1525 0.0694 0.7219  1 Sm 3.15, 1 Y 3.19
Sm 0.3864 0.8864 0.0000  1 Sm 2.94, 2 La 3.15
Y 0.7500 0.2500 0.5000  4 La 3.19
La 0.6525 0.1525 0.7219  1 Sm 3.15, 1 Y 3.19
Sm 0.1136 0.3864 0.0000  1 Sm 2.94, 2 La 3.15
La 0.0000 0.0000 0.0000  4 Sm 3.69, 2 Pm 3.85, 8 La 3.92
Y 0.2500 0.7500 0.5000  4 La 3.19
La 0.5694 0.6525 0.7219  1 Sm 3.15, 1 Y 3.19
Pm 0.2500 0.2500 0.5000  10 La 3.70-3.85
La 0.5000 0.5000 0.0000  4 Sm 3.69, 2 Pm 3.85, 8 La 3.92
Sm 0.6136 0.1136 0.0000  1 Sm 2.94, 2 La 3.15
La 0.8475 0.9306 0.2781  1 Sm 3.15, 1 Y 3.19

Values from the calculation:
- Symmetry: No. 140
- Crystal system: tetragonal

=====

DFT (PBE-GGA) results for crystalline LaPm2Sm5Y at its relaxed geometry.

a b c (Å): 8.9168 8.9168 10.0616
angles (deg): 116.30 116.30 90.00
Last column: nearest neighbours and their distance in Å.
Element x y z (fractional)
Sm 0.0726 0.5726 0.7284  1 Pm 3.07, 1 Y 3.18
Sm 0.4274 0.3442 0.2716  1 Pm 3.07, 1 Y 3.18
Sm 0.0000 0.0000 0.0000  4 Pm 3.57, 8 Sm 3.84, 2 La 3.92
Sm 0.1558 0.0726 0.7284  1 Pm 3.07, 1 Y 3.18
Pm 0.1164 0.3836 0.0000  1 Pm 2.93, 2 Sm 3.07
Y 0.7500 0.2500 0.5000  4 Sm 3.18
La 0.2500 0.2500 0.5000  10 Sm 3.66-3.92
Pm 0.8836 0.6164 0.0000  1 Pm 2.93, 2 Sm 3.07
Y 0.2500 0.7500 0.5000  4 Sm 3.18
Sm 0.6558 0.1558 0.7284  1 Pm 3.07, 1 Y 3.18
Pm 0.6164 0.1164 0.0000  1 Pm 2.93, 2 Sm 3.07
Sm 0.5000 0.5000 0.0000  4 Pm 3.57, 8 Sm 3.84, 2 La 3.92
Sm 0.8442 0.9274 0.2716  1 Pm 3.07, 1 Y 3.18
Sm 0.3442 0.8442 0.2716  1 Pm 3.07, 1 Y 3.18
Sm 0.5726 0.6558 0.7284  1 Pm 3.07, 1 Y 3.18
La 0.7500 0.7500 0.5000  10 Sm 3.66-3.92
Sm 0.9274 0.4274 0.2716  1 Pm 3.07, 1 Y 3.18
Pm 0.3836 0.8836 0.0000  1 Pm 2.93, 2 Sm 3.07

Values from the calculation:
- Symmetry: No. 140
- Crystal system: tetragonal

=====

DFT (PBE-GGA) results for crystalline La6PmSmY2 at its relaxed geometry.

a b c (Å): 9.0281 7.2129 6.7563
angles (deg): 122.26 101.61 90.00
Last column: nearest neighbours and their distance in Å.
Element x y z (fractional)
Y 0.8361 0.9091 0.8182  1 Y 3.18, 4 La 3.26-3.56, 1 Sm 3.43
La 0.1989 0.5988 0.6423  1 La 3.21, 2 Y 3.26-3.56, 1 Sm 3.39
La 0.8011 0.4012 0.3577  1 La 3.21, 2 Y 3.26-3.56, 1 Sm 3.39
La 0.4330 0.6367 0.2734  5 La 3.61-3.81, 1 Pm 3.85, 2 Sm 4.03
Sm 0.5000 0.0000 0.0000  4 La 3.39, 2 Y 3.43
Y 0.1639 0.0909 0.1818  1 Y 3.18, 4 La 3.26-3.56, 1 Sm 3.43
La 0.5670 0.3633 0.7266  5 La 3.61-3.81, 1 Pm 3.85, 2 Sm 4.03
La 0.1989 0.0435 0.6423  1 La 3.21, 2 Y 3.26-3.56, 1 Sm 3.39
La 0.8011 0.9565 0.3577  1 La 3.21, 2 Y 3.26-3.56, 1 Sm 3.39
Pm 0.0000 0.5000 0.0000  10 La 3.63-4.02, 4 Y 3.94

Values from the calculation:
- Symmetry: No. 12
- Crystal system: monoclinic

=====

DFT (PBE-GGA) results for crystalline LaPm3Sm2Y6 at its relaxed geometry.

a b c (Å): 6.2753 6.2753 11.8925
angles (deg): 95.03 95.03 119.99
Last column: nearest neighbours and their distance in Å.
Element x y z (fractional)
Y 0.4178 0.0836 0.2507  3 Pm 3.59, 2 Sm 3.60, 1 La 3.61, 6 Y 3.62-3.63
Sm 0.6666 0.3334 0.0000  6 Y 3.60, 3 Sm 3.62, 3 La 3.62
Y 0.2506 0.2506 0.7491  3 Pm 3.58-3.59, 2 Sm 3.60, 1 La 3.61, 6 Y 3.62-3.63
Y 0.0836 0.4178 0.2507  3 Pm 3.59, 2 Sm 3.60, 1 La 3.61, 6 Y 3.62-3.63
Sm 0.3334 0.6666 0.0000  6 Y 3.60, 3 Sm 3.62, 3 La 3.62
Pm 0.5000 0.5000 0.5000  6 Y 3.58-3.59, 6 Pm 3.62
Y 0.5822 0.9164 0.7493  3 Pm 3.59, 2 Sm 3.60, 1 La 3.61, 6 Y 3.62-3.63
La 0.0000 0.0000 0.0000  6 Y 3.61, 6 Sm 3.62
Y 0.7494 0.7494 0.2509  3 Pm 3.58-3.59, 2 Sm 3.60, 1 La 3.61, 6 Y 3.62-3.63
Pm 0.8331 0.1669 0.5000  6 Y 3.59, 6 Pm 3.62-3.63
Pm 0.1669 0.8331 0.5000  6 Y 3.59, 6 Pm 3.62-3.63
Y 0.9164 0.5822 0.7493  3 Pm 3.59, 2 Sm 3.60, 1 La 3.61, 6 Y 3.62-3.63

Values from the calculation:
- Symmetry: No. 12
- Crystal system: monoclinic

=====

Formation enthalpy at 0 K, respectively: 0.2609; 0.2719; 0.2737; 0.2632; 0.1881; 0.0117 eV per atom.
DOS at the Fermi energy, respectively: 14.05; 22.50; 34.42; 24.43; 19.74; 14.75 states/eV/cell.